8
Lattice="-0.5684 6.9161 0.7295 -0.5282 -0.7346 6.5525 6.4138 0.6818 -1.4666" Properties=species:S:1:pos:R:3 comment="K2CdAu, optimized geometry, DFT PBE-GGA" ef_ev_per_atom=-0.171 pbc="T T T"
K 3.1528 4.8998 6.0589
K 2.1644 1.9635 -0.2436
K -0.2316 1.4747 2.5241
K 5.5488 5.3887 3.2912
Cd 0.8639 5.1755 1.6620
Cd 4.4534 1.6878 4.1533
Au 2.9428 -0.0264 2.5429
Au 2.6586 3.4317 2.9077